This record from the Alexandria database describes a relaxed structure of Li3Zn6Ag. The functional is PBE-GGA.

The structure in CIF format:
```
data_Li3Zn6Ag
_chemical_formula_sum 'Li12 Zn24 Ag4'
_cell_length_a 8.9254
_cell_length_b 14.8448
_cell_length_c 4.8740
_cell_angle_alpha 90.00
_cell_angle_beta 90.00
_cell_angle_gamma 90.00
_symmetry_space_group_name_H-M 'C m c 21'
_symmetry_Int_Tables_number 36
_symmetry_space_group_name_Hall 'C 2c -2'
loop_
_atom_site_label
_atom_site_type_symbol
_atom_site_fract_x
_atom_site_fract_y
_atom_site_fract_z
Li1 Li 0.0000 0.1075 0.0000
Li2 Li 0.1685 0.3961 0.3994
Zn1 Zn 0.0000 0.2101 0.5545
Zn2 Zn 0.0000 0.4563 0.9002
Zn3 Zn 0.1618 0.0497 0.4434
Zn4 Zn 0.2487 0.2171 0.2943
Ag1 Ag 0.0000 0.2874 0.0584
```


This record from the Alexandria database describes a relaxed structure of LiZrZnAg. The functional is PBE-GGA.

The structure in CIF format:
```
data_LiZrZnAg
_chemical_formula_sum 'Li4 Zr4 Zn4 Ag4'
_cell_length_a 6.5610
_cell_length_b 6.5610
_cell_length_c 6.5610
_cell_angle_alpha 90.00
_cell_angle_beta 90.00
_cell_angle_gamma 90.00
_symmetry_space_group_name_H-M 'F -4 3 m'
_symmetry_Int_Tables_number 216
_symmetry_space_group_name_Hall 'F -4 2 3'
loop_
_atom_site_label
_atom_site_type_symbol
_atom_site_fract_x
_atom_site_fract_y
_atom_site_fract_z
Li1 Li 0.0000 0.0000 0.0000
Zr1 Zr 0.0000 0.0000 0.5000
Zn1 Zn 0.2500 0.2500 0.7500
Ag1 Ag 0.2500 0.2500 0.2500
```


This record from the Alexandria database describes a relaxed structure of LiZr2Ag. The functional is PBE-GGA.

The structure in CIF format:
```
data_LiZr2Ag
_chemical_formula_sum 'Li1 Zr2 Ag1'
_cell_length_a 4.1858
_cell_length_b 4.1858
_cell_length_c 4.4786
_cell_angle_alpha 90.00
_cell_angle_beta 90.00
_cell_angle_gamma 90.00
_symmetry_space_group_name_H-M 'P 4/m m m'
_symmetry_Int_Tables_number 123
_symmetry_space_group_name_Hall '-P 4 2'
loop_
_atom_site_label
_atom_site_type_symbol
_atom_site_fract_x
_atom_site_fract_y
_atom_site_fract_z
Li1 Li 0.0000 0.0000 0.0000
Zr1 Zr 0.0000 0.5000 0.5000
Ag1 Ag 0.5000 0.5000 0.0000
```


This record from the Alexandria database describes a relaxed structure of Li2ZrAg. The functional is PBE-GGA.

The structure in CIF format:
```
data_Li2ZrAg
_chemical_formula_sum 'Li2 Zr1 Ag1'
_cell_length_a 2.8369
_cell_length_b 4.6909
_cell_length_c 5.7743
_cell_angle_alpha 90.00
_cell_angle_beta 99.46
_cell_angle_gamma 90.00
_symmetry_space_group_name_H-M 'P 1 m 1'
_symmetry_Int_Tables_number 6
_symmetry_space_group_name_Hall 'P -2y'
loop_
_atom_site_label
_atom_site_type_symbol
_atom_site_fract_x
_atom_site_fract_y
_atom_site_fract_z
Li1 Li 0.0000 0.0000 0.0000
Li2 Li 0.3435 0.5000 0.8195
Zr1 Zr 0.7252 0.5000 0.3398
Ag1 Ag 0.3053 0.0000 0.5445
```


This record from the Alexandria database describes a relaxed structure of LiZr2Ag. The functional is PBE-GGA.

The structure in CIF format:
```
data_LiZr2Ag
_chemical_formula_sum 'Li1 Zr2 Ag1'
_cell_length_a 3.1326
_cell_length_b 3.1326
_cell_length_c 8.3489
_cell_angle_alpha 90.00
_cell_angle_beta 90.00
_cell_angle_gamma 90.00
_symmetry_space_group_name_H-M 'P 4 m m'
_symmetry_Int_Tables_number 99
_symmetry_space_group_name_Hall 'P 4 -2'
loop_
_atom_site_label
_atom_site_type_symbol
_atom_site_fract_x
_atom_site_fract_y
_atom_site_fract_z
Li1 Li 0.0000 0.0000 0.0000
Zr1 Zr 0.0000 0.0000 0.5476
Zr2 Zr 0.5000 0.5000 0.2898
Ag1 Ag 0.5000 0.5000 0.8084
```


This record from the Alexandria database describes a relaxed structure of Li2ZrAg. The functional is PBE-GGA.

The structure in CIF format:
```
data_Li2ZrAg
_chemical_formula_sum 'Li2 Zr1 Ag1'
_cell_length_a 2.8290
_cell_length_b 5.0023
_cell_length_c 5.3177
_cell_angle_alpha 90.00
_cell_angle_beta 93.06
_cell_angle_gamma 90.00
_symmetry_space_group_name_H-M 'P 1 2/m 1'
_symmetry_Int_Tables_number 10
_symmetry_space_group_name_Hall '-P 2y'
loop_
_atom_site_label
_atom_site_type_symbol
_atom_site_fract_x
_atom_site_fract_y
_atom_site_fract_z
Li1 Li 0.1521 0.0000 0.2620
Zr1 Zr 0.5000 0.5000 0.0000
Ag1 Ag 0.0000 0.5000 0.5000
```


This record from the Alexandria database describes a relaxed structure of LiZr2Ag4. The functional is PBE-GGA.

The structure in CIF format:
```
data_LiZr2Ag4
_chemical_formula_sum 'Li1 Zr2 Ag4'
_cell_length_a 5.1686
_cell_length_b 5.1764
_cell_length_c 5.6987
_cell_angle_alpha 99.29
_cell_angle_beta 116.68
_cell_angle_gamma 90.19
_symmetry_space_group_name_H-M 'P 1'
_symmetry_Int_Tables_number 1
_symmetry_space_group_name_Hall 'P 1'
loop_
_atom_site_label
_atom_site_type_symbol
_atom_site_fract_x
_atom_site_fract_y
_atom_site_fract_z
Li1 Li 0.0000 0.0000 0.0000
Zr1 Zr 0.5494 0.4398 0.6974
Zr2 Zr 0.8482 0.5596 0.3000
Ag1 Ag 0.2002 0.5002 0.9984
Ag2 Ag 0.4413 0.8893 0.4581
Ag3 Ag 0.5058 0.0003 0.9989
Ag4 Ag 0.9825 0.1101 0.5397
```


This record from the Alexandria database describes a relaxed structure of LiZr2Ag. The functional is PBE-GGA.

The structure in CIF format:
```
data_LiZr2Ag
_chemical_formula_sum 'Li4 Zr8 Ag4'
_cell_length_a 6.8487
_cell_length_b 6.8487
_cell_length_c 6.8487
_cell_angle_alpha 90.00
_cell_angle_beta 90.00
_cell_angle_gamma 90.00
_symmetry_space_group_name_H-M 'F -4 3 m'
_symmetry_Int_Tables_number 216
_symmetry_space_group_name_Hall 'F -4 2 3'
loop_
_atom_site_label
_atom_site_type_symbol
_atom_site_fract_x
_atom_site_fract_y
_atom_site_fract_z
Li1 Li 0.0000 0.0000 0.0000
Zr1 Zr 0.0000 0.0000 0.5000
Zr2 Zr 0.2500 0.2500 0.7500
Ag1 Ag 0.2500 0.2500 0.2500
```


no.,V (Å³/atom),DFT formation energy (meV per atom),VASP energy (eV/cell)
1,16.1,-97,-68.84
2,17.7,-105,-60.03
3,19.6,113,-21.41
4,18.9,81,-14.90
5,20.5,-42,-22.03
6,18.8,76,-14.92
7,19.1,28,-30.22
8,20.1,302,-82.61